# 1
Li2ScAu: relaxed, GGA-PBE.

Properties
E above lowest polymorph = 0.0467 eV/atom
Space-group type = Pmmm
Fermi-level density of states = 3.09 states/eV/f.u.
Calculated formation energy = -0.32 eV/atom

Lattice parameters (Å, degrees): 3.9268 3.9766 4.7445 90.00 90.00 90.00
Positions (direct):
1 Li 0.0000 0.0000 0.0000
2 Li 0.5000 0.5000 0.0000
3 Sc 0.0000 0.5000 0.5000
4 Au 0.5000 0.0000 0.5000

# 2
RbTiInBi2: relaxed, GGA-PBE.

Properties
Space-group type = P4/mmm
Fermi-level density of states = 3.34 states/eV/f.u.
Calculated formation energy = -0.11 eV/atom

Lattice parameters (Å, degrees): 5.5121 5.5121 5.5643 90.00 90.00 90.00
Positions (direct):
1 Rb 0.0000 0.0000 0.0000
2 Ti 0.5000 0.5000 0.5000
3 In 0.5000 0.5000 0.0000
4 Bi 0.0000 0.5000 0.5000
5 Bi 0.5000 0.0000 0.5000

# 3
U2MnOs: relaxed, GGA-PBE.

Properties
E above lowest polymorph = 0.0000 eV/atom
Space-group type = P4/mmm
Fermi-level density of states = 7.49 states/eV/f.u.
Calculated formation energy = 0.13 eV/atom

Lattice parameters (Å, degrees): 3.4016 3.4016 6.1229 90.00 90.00 90.00
Positions (direct):
1 U 0.0000 0.0000 0.2108
2 U 0.0000 0.0000 0.7892
3 Mn 0.5000 0.5000 0.0000
4 Os 0.5000 0.5000 0.5000

# 4
In4SI3: relaxed, GGA-PBE.

Properties
Space-group type = Pmn2_1
Formation energy (no corrections) = -316 meV/atom
Fermi-level density of states = 3.38 states/eV/f.u.

Lattice parameters (Å, degrees): 8.9808 10.8957 7.0495 90.00 90.00 90.00
Positions (direct):
1 In 0.0000 0.0319 0.0000
2 In 0.0000 0.7726 0.4106
3 In 0.2116 0.3318 0.5042
4 In 0.2884 0.6682 0.0042
5 In 0.5000 0.2274 0.9106
6 In 0.5000 0.9681 0.5000
7 In 0.7116 0.6682 0.0042
8 In 0.7884 0.3318 0.5042
9 S 0.0000 0.7734 0.0423
10 S 0.5000 0.2266 0.5423
11 I 0.0000 0.0511 0.4985
12 I 0.2095 0.3483 0.0133
13 I 0.2905 0.6517 0.5133
14 I 0.5000 0.9489 0.9985
15 I 0.7095 0.6517 0.5133
16 I 0.7905 0.3483 0.0133

Which of these has the lowest Fermi-level density of states?
Li2ScAu